Entry 1:
The following is a PBE-GGA calculation of Ac2PuBi3Rh4 after structural relaxation, from Alexandria via LeMat-Bulk.

Lattice parameters (Å, degrees): 4.801 4.801 10.826 90.00 90.00 90.00
Fractional positions:
1 Ac 0.000 0.500 0.228
2 Ac 0.500 0.000 0.772
3 Pu 0.000 0.000 0.500
4 Bi 0.000 0.500 0.874
5 Bi 0.500 0.000 0.126
6 Bi 0.500 0.500 0.500
7 Rh 0.000 0.000 0.000
8 Rh 0.000 0.500 0.625
9 Rh 0.500 0.000 0.375
10 Rh 0.500 0.500 0.000

Summary:
As for the symmetry: P-4m2. The formation energy comes out at -52.9 kJ/mol of atoms.

***

Entry 2:
The following is a PBE-GGA calculation of DyTmCoAg after structural relaxation, from Alexandria via LeMat-Bulk.

Lattice parameters (Å, degrees): 4.905 4.905 4.905 60.00 60.00 60.00
Fractional positions:
1 Dy 0.000 0.000 0.000
2 Tm 0.500 0.500 0.500
3 Co 0.250 0.250 0.250
4 Ag 0.750 0.750 0.750

Summary:
The energy above the lowest structure with this stoichiometry is 66 meV per atom. As for the symmetry: F-43m. The formation energy comes out at -19.3 kJ/mol of atoms.

***

Entry 3:
The following is a PBE-GGA calculation of PRuPtCl2 after structural relaxation, from Alexandria via LeMat-Bulk.

Lattice parameters (Å, degrees): 4.759 4.759 4.506 90.00 90.00 90.00
Fractional positions:
1 P 0.000 0.000 0.000
2 Ru 0.000 0.000 0.500
3 Pt 0.500 0.500 0.000
4 Cl 0.000 0.500 0.500
5 Cl 0.500 0.000 0.500

Summary:
The energy above the lowest structure with this stoichiometry is 0 meV per atom. As for the symmetry: P4/mmm. Its formation energy from raw total energies is 0.7755 eV per atom.

***

Entry 4:
The following is a PBE-GGA calculation of NpNiSbPt after structural relaxation, from Alexandria via LeMat-Bulk.

Lattice parameters (Å, degrees): 4.750 4.750 4.750 60.00 60.00 60.00
Fractional positions:
1 Np 0.000 0.000 0.000
2 Ni 0.750 0.750 0.750
3 Sb 0.500 0.500 0.500
4 Pt 0.250 0.250 0.250

Summary:
As for the symmetry: F-43m. Its formation energy from raw total energies is -0.2592 eV per atom.

***

Entry 5:
The following is a PBE-GGA calculation of HfTaMn4 after structural relaxation, from Alexandria via LeMat-Bulk.

Lattice parameters (Å, degrees): 4.886 4.886 4.886 60.00 60.00 60.00
Fractional positions:
1 Hf 0.000 0.000 0.000
2 Ta 0.750 0.750 0.750
3 Mn 0.375 0.375 0.375
4 Mn 0.375 0.375 0.875
5 Mn 0.375 0.875 0.375
6 Mn 0.875 0.375 0.375

Summary:
As for the symmetry: F-43m. The formation energy comes out at -21.4 kJ/mol of atoms.

***

Entry 6:
The following is a PBE-GGA calculation of MgSc2Be2Ni5 after structural relaxation, from Alexandria via LeMat-Bulk.

Lattice parameters (Å, degrees): 8.861 8.861 3.272 90.00 90.00 90.00
Fractional positions:
1 Mg 0.000 0.000 0.000
2 Mg 0.500 0.500 0.000
3 Sc 0.179 0.321 0.000
4 Sc 0.321 0.821 0.000
5 Sc 0.679 0.179 0.000
6 Sc 0.821 0.679 0.000
7 Be 0.116 0.616 0.000
8 Be 0.384 0.116 0.000
9 Be 0.616 0.884 0.000
10 Be 0.884 0.384 0.000
11 Ni 0.000 0.500 0.500
12 Ni 0.068 0.776 0.500
13 Ni 0.224 0.068 0.500
14 Ni 0.276 0.568 0.500
15 Ni 0.432 0.276 0.500
16 Ni 0.500 0.000 0.500
17 Ni 0.568 0.724 0.500
18 Ni 0.724 0.432 0.500
19 Ni 0.776 0.932 0.500
20 Ni 0.932 0.224 0.500

Summary:
As for the symmetry: P4/mbm. The formation energy comes out at -40.5 kJ/mol of atoms.

***

| no. | density (kg/m³) |
| --- | --- |
| 1 | 11557 |
| 2 | 9912 |
| 3 | 6475 |
| 4 | 13426 |
| 5 | 11661 |
| 6 | 5504 |